The following is a DFT calculation (GGA-PBE) of a geometry-optimized TmHfCoCu structure.

The space group is F-43m (No. 216) and the conventional cell measures 6.5317, 6.5317 and 6.5317 Å, with angles of 90.00, 90.00 and 90.00 degrees. The asymmetric unit holds Tm at (0.0000, 0.0000, 0.0000), Hf at (0.0000, 0.0000, 0.5000), Co at (0.2500, 0.2500, 0.7500) and Cu at (0.2500, 0.2500, 0.2500).

As for the final energy: -105.99 eV for the cell shown. Its formation energy is -0.9 eV/f.u. As for the volume: 17.42 A^3/atom.